Compound: P2WSeO
Source: Alexandria via LeMat-Bulk
Functional: PBE+U
Structure: relaxed

Properties
Final energy: -4.1737 eV/atom
ρ: 5.3 Mg/m³
D(E_F): 6.01 states/eV/f.u.

Structure (CIF):
```
data_P2WSeO
_symmetry_space_group_name_H-M 'P 4/m m m'
_symmetry_Int_Tables_number 123
_symmetry_space_group_name_Hall '-P 4 2'
_cell_length_a 4.686
_cell_length_b 4.686
_cell_length_c 4.879
_cell_angle_alpha 90.00
_cell_angle_beta 90.00
_cell_angle_gamma 90.00
loop_
_atom_site_label
_atom_site_type_symbol
_atom_site_fract_x
_atom_site_fract_y
_atom_site_fract_z
P1 P 0.000 0.500 0.000
W1 W 0.000 0.000 0.000
Se1 Se 0.000 0.000 0.500
O1 O 0.500 0.500 0.500
```